The following is a GGA-PBE calculation of a relaxed NaY3Ir crystal, from the Alexandria database.

Unit cell a=5.230 b=5.230 c=5.230 alpha=90.00 beta=90.00 gamma=90.00
Positions (direct):
Y  0.500  0.000  0.000
Y  0.000  0.500  0.000
Y  0.000  0.000  0.500
Na  0.000  0.000  0.000
Ir  0.500  0.500  0.500

**Spin magnetization**: 0.0 μB/cell
**N(E_F)**: 1.2784 states/eV per atom
**Formation energy from the elements**: 1.271 eV per atom
**SG**: Pm-3m (221)
**Density**: 5.59 g/cm³